## Tl2ZnIn (meta-GGA SCAN)

Data for Tl2ZnIn at its PBEsol-relaxed geometry.

Lattice parameters (Å, degrees): 3.3360 3.3360 8.6609 90.00 90.00 90.00
With the nearest neighbours (Å) after each atom.
Space group P4/mmm (No. 123)
Symmetry-distinct sites (fractional):
Tl1 0.0000 0.0000 0.2208  4 Zn 3.04, 4 Tl 3.34, 4 In 3.38
Zn1 0.5000 0.5000 0.0000  8 Tl 3.04, 4 Zn 3.34
In1 0.5000 0.5000 0.5000  4 In 3.34, 8 Tl 3.38

Properties
energy of formation = 0.18 eV per atom